Record 1
VASP calculation (GGA-PBE) on an optimized crystal structure of BeCdI3.

Output
- SG: No. 221

Cell: 5.3437 5.3437 5.3437 Å, 90.00 90.00 90.00°
Closest atoms and distances in Å follow each position.
Element x y z (fractional)
Be 0.0000 0.0000 0.0000  6 I 2.67
Cd 0.5000 0.5000 0.5000  12 I 3.78
I 0.0000 0.0000 0.5000  2 Be 2.67
I 0.0000 0.5000 0.0000  2 Be 2.67
I 0.5000 0.0000 0.0000  2 Be 2.67



Record 2
VASP calculation (GGA-PBE) on an optimized crystal structure of BeCdI3.

Output
- SG: No. 221

Cell: 5.8834 5.8834 5.8834 Å, 90.00 90.00 90.00°
Closest atoms and distances in Å follow each position.
Element x y z (fractional)
Be 0.0000 0.0000 0.0000  12 I 4.16
Cd 0.5000 0.5000 0.5000  6 I 2.94
I 0.0000 0.5000 0.5000  2 Cd 2.94
I 0.5000 0.0000 0.5000  2 Cd 2.94
I 0.5000 0.5000 0.0000  2 Cd 2.94



Record 3
VASP calculation (GGA-PBE) on an optimized crystal structure of Be2Cd2I.

Output
- SG: No. 139

Cell: 8.6237 8.6237 8.6237 Å, 156.15 156.15 33.98°
Closest atoms and distances in Å follow each position.
Element x y z (fractional)
Be 0.2500 0.7500 0.5000  4 Be 2.52, 4 Cd 2.60
Be 0.7500 0.2500 0.5000  4 Be 2.52, 4 Cd 2.60
Cd 0.1354 0.1354 0.0000  4 Be 2.60
Cd 0.8646 0.8646 0.0000  4 Be 2.60
I 0.5000 0.5000 0.0000  8 Cd 3.37, 4 I 3.56



The energy results, record by record, are as follows: -9.1; -6.9; -8.5 eV/f.u..
The formation energy from raw total energies results, record by record, are as follows: 0.19; 2.42; 2.36 eV/f.u..
The offset from the most stable computed form results, record by record, are as follows: 0; 446; 0 meV per atom.